Version one
# Li2MgRe, relaxed, DFT PBE
# Magnetization, μB per cell: 0.53
# Space group: No. 12
# Crystal system: monoclinic
data_Li2MgRe
_cell_length_a 5.547
_cell_length_b 9.574
_cell_length_c 2.582
_cell_angle_alpha 90.00
_cell_angle_beta 113.20
_cell_angle_gamma 90.00
_symmetry_space_group_name_H-M 'P 1'
_symmetry_Int_Tables_number 1
loop_
_symmetry_equiv_pos_as_xyz
'x,y,z'
loop_
_atom_site_label
_atom_site_type_symbol
_atom_site_fract_x
_atom_site_fract_y
_atom_site_fract_z
Li1 Li 0.250 0.250 0.000
Li2 Li 0.250 0.750 0.000
Li3 Li 0.750 0.250 0.000
Li4 Li 0.750 0.750 0.000
Mg1 Mg 0.000 0.000 0.500
Mg2 Mg 0.500 0.500 0.500
Re1 Re 0.000 0.500 0.500
Re2 Re 0.500 0.000 0.500

---

Version two
# Li2MgRe, relaxed, DFT PBE
# Magnetization, μB per cell: 0.00
# Space group: No. 65
# Crystal system: orthorhombic
data_Li2MgRe
_cell_length_a 3.076
_cell_length_b 4.356
_cell_length_c 9.705
_cell_angle_alpha 90.00
_cell_angle_beta 90.00
_cell_angle_gamma 90.00
_symmetry_space_group_name_H-M 'P 1'
_symmetry_Int_Tables_number 1
loop_
_symmetry_equiv_pos_as_xyz
'x,y,z'
loop_
_atom_site_label
_atom_site_type_symbol
_atom_site_fract_x
_atom_site_fract_y
_atom_site_fract_z
Li1 Li 0.000 0.000 0.230
Li2 Li 0.000 0.000 0.770
Li3 Li 0.500 0.500 0.230
Li4 Li 0.500 0.500 0.770
Mg1 Mg 0.000 0.500 0.500
Mg2 Mg 0.500 0.000 0.500
Re1 Re 0.000 0.500 0.000
Re2 Re 0.500 0.000 0.000

---

The least stable of them is version one.